! PBE CsLiAsS2, relaxed; values from VASP
&SYSTEM
  ibrav = 0, nat = 10, ntyp = 4
/
ATOMIC_SPECIES
Cs 132.91 Cs.upf
Li 6.94 Li.upf
As 74.92 As.upf
S 32.06 S.upf
CELL_PARAMETERS angstrom
2.732 -7.548 0.000
2.732 7.548 0.000
0.000 0.000 6.482
ATOMIC_POSITIONS crystal
Cs 0.250 0.750 0.751
Cs 0.750 0.250 0.249
Li 0.250 0.250 0.000
Li 0.750 0.750 0.000
As 0.000 0.000 0.500
As 0.500 0.500 0.500
S 0.102 0.898 0.212
S 0.398 0.602 0.212
S 0.602 0.398 0.788
S 0.898 0.102 0.788
! - Space group: Cmme (67)
! - Formation energy from raw total energies: -0.594 eV/atom
! - ρ: 3465 kg/m³